Compound: TbTi2Ga4
Source: Alexandria
Functional: meta-GGA SCAN
Structure: single point on PBEsol structure

Geometry as extended XYZ:
```
7
Lattice="-3.340 3.340 2.685 3.340 -3.340 2.685 3.340 3.340 -2.685" Properties=species:S:1:pos:R:3 pbc="T T T"
Tb 0.000 0.000 0.000
Ti 3.340 0.000 1.342
Ti 0.000 3.340 1.342
Ga 2.026 2.026 0.000
Ga 1.314 -1.314 2.685
Ga -1.314 1.314 2.685
Ga 1.314 1.314 2.685
```

Properties
**Symmetry**: I4/mmm
**Calculated formation energy**: -14.8 kcal/mol of atoms
**E_tot**: -21.243 eV/atom

=====

Compound: B3RuS
Source: Alexandria
Functional: meta-GGA SCAN
Structure: single point on PBEsol structure

Geometry as extended XYZ:
```
5
Lattice="4.055 0.000 0.000 0.000 4.055 0.000 0.000 0.000 4.055" Properties=species:S:1:pos:R:3 pbc="T T T"
B 0.000 0.000 2.027
B 0.000 2.027 0.000
B 2.027 0.000 0.000
Ru 0.000 0.000 0.000
S 2.027 2.027 2.027
```

Properties
**Symmetry**: Pm-3m
**E_tot**: -11.917 eV/atom
**Raw formation energy**: 7.16 eV per formula unit

=====

Compound: CdInSn2
Source: Alexandria
Functional: meta-GGA SCAN
Structure: single point on PBEsol structure

Geometry as extended XYZ:
```
4
Lattice="0.000 3.682 3.682 3.682 0.000 3.682 3.682 3.682 0.000" Properties=species:S:1:pos:R:3 pbc="T T T"
Cd 0.000 0.000 0.000
In 3.682 3.682 3.682
Sn 1.841 1.841 1.841
Sn 5.523 5.523 5.523
```

Properties
**Symmetry**: Fm-3m
**Calculated formation energy**: 4.1 kcal/mol of atoms
**E_tot**: -33.734 eV/atom

=====

Compound: BPSeCl2
Source: Alexandria
Functional: meta-GGA SCAN
Structure: single point on PBEsol structure

Geometry as extended XYZ:
```
5
Lattice="4.047 0.000 0.000 0.000 4.047 0.000 0.000 0.000 4.828" Properties=species:S:1:pos:R:3 pbc="T T T"
B 0.000 0.000 0.000
P 0.000 0.000 2.414
Se 2.023 2.023 2.414
Cl 0.000 2.023 0.000
Cl 2.023 0.000 0.000
```

Properties
**Symmetry**: P4/mmm
**E_tot**: -10.070 eV/atom
**Raw formation energy**: 3.51 eV per formula unit

=====

Question: The highest E_tot belongs to which entry?
Answer: BPSeCl2

=====

Question: The lowest E_tot belongs to which entry?
Answer: CdInSn2

=====

Question: Number 2 is which compound?
Answer: B3RuS